# 1
Computed, not measured: crystalline Tm3Sc3Tl2Co at its relaxed geometry at the PBE-GGA level of DFT.

Results
ΔH_f (0 K)   -6.4 kcal/mol of atoms
Magnetic moment   0.0 μB/f.u.
Calculated density   8.4 g/cm3
Final energy   -5.19 eV per atom
Volume   219.6 Å³/cell

Lattice parameters (Å, degrees): 8.2699 8.2699 3.7074 90.00 90.00 120.00
Space group P-62m (No. 189)
Asymmetric unit:
1 Tm 0.0000 0.3890 0.0000 [3 per cell]
2 Sc 0.0000 0.7735 0.5000 [3 per cell]
3 Tl 0.3333 0.6667 0.5000 [2 per cell]
4 Co 0.0000 0.0000 0.0000 [1 per cell]

***

# 2
Computed, not measured: crystalline Y2ScTlCo at its relaxed geometry at the PBE-GGA level of DFT.

Results
ΔH_f (0 K)   -3.5 kcal/mol of atoms
Magnetic moment   0.0 μB/f.u.
Calculated density   6.2 g/cm3
Final energy   -5.90 eV per atom
Volume   130.4 Å³/cell

Lattice parameters (Å, degrees): 5.249 5.249 4.732 90.00 90.00 90.00
Space group P4/mmm (No. 123)
Asymmetric unit:
1 Y 0.000 0.500 0.000 [2 per cell]
2 Sc 0.000 0.000 0.500 [1 per cell]
3 Tl 0.500 0.500 0.500 [1 per cell]
4 Co 0.000 0.000 0.000 [1 per cell]

***

# 3
Computed, not measured: crystalline YScTlCo at its relaxed geometry at the PBE-GGA level of DFT.

Results
ΔH_f (0 K)   -3.1 kcal/mol of atoms
Magnetic moment   1.1 μB/f.u.
Calculated density   7.6 g/cm3
Final energy   -5.70 eV per atom
Volume   346.8 Å³/cell

Lattice parameters (Å, degrees): 7.026 7.026 7.026 90.00 90.00 90.00
Space group F-43m (No. 216)
Asymmetric unit:
1 Y 0.000 0.000 0.000 [4 per cell]
2 Sc 0.000 0.000 0.500 [4 per cell]
3 Tl 0.250 0.250 0.250 [4 per cell]
4 Co 0.250 0.250 0.750 [4 per cell]